A PBEsol-optimized structure of Li2NbZn, computed with meta-GGA SCAN.

Total magnetic moment in μB per formula unit: 0.0
Calculated formation energy in eV/atom: 0.59

Cell lengths 5.215, 5.542, 5.542 Å; angles 77.21, 61.93, 61.93 degrees
Positions (direct):
1 Nb 0.000 0.000 0.000
2 Nb 0.750 0.500 0.500
3 Zn 0.500 0.000 0.000
4 Zn 0.250 0.500 0.500
5 Li 0.593 0.032 0.532
6 Li 0.157 0.968 0.468
7 Li 0.375 0.468 0.032
8 Li 0.875 0.532 0.968


A PBEsol-optimized structure of NdSnRh, computed with meta-GGA SCAN.

Total magnetic moment in μB per formula unit: 0.0
Calculated formation energy in eV/atom: -0.97

Cell lengths 4.095, 7.388, 7.388 Å; angles 120.00, 90.00, 90.00 degrees
Positions (direct):
1 Nd 0.000 0.000 0.586
2 Nd 0.000 0.586 0.000
3 Nd 0.000 0.414 0.414
4 Sn 0.500 0.250 0.000
5 Sn 0.500 0.000 0.250
6 Sn 0.500 0.750 0.750
7 Rh 0.000 0.000 0.000
8 Rh 0.500 0.333 0.667
9 Rh 0.500 0.667 0.333